(1)
# LaPmPaGa | Alexandria via LeMat-Bulk | GGA-PBE | optimized geometry
data_LaPmPaGa
_chemical_formula_sum 'La4 Pm4 Pa4 Ga4'
_space_group_name_H-M_alt 'F -4 3 m'
_space_group_IT_number 216
_space_group_name_Hall 'F -4 2 3'
_cell_length_a 7.582
_cell_length_b 7.582
_cell_length_c 7.582
_cell_angle_alpha 90.00
_cell_angle_beta 90.00
_cell_angle_gamma 90.00
loop_
_atom_site_label
_atom_site_type_symbol
_atom_site_fract_x
_atom_site_fract_y
_atom_site_fract_z
La1 La 0.000 0.000 0.000
Pm1 Pm 0.000 0.000 0.500
Pa1 Pa 0.250 0.250 0.250
Ga1 Ga 0.250 0.250 0.750
# Calculated formation energy, kJ per mole of atoms: 15.5

=====

(2)
# Na3Er3SiO8 | Alexandria via LeMat-Bulk | GGA-PBE | optimized geometry
data_Na3Er3SiO8
_chemical_formula_sum 'Na9 Er9 Si3 O24'
_space_group_name_H-M_alt 'R -3 m'
_space_group_IT_number 166
_space_group_name_Hall '-R 3 2"'
_cell_length_a 6.5117
_cell_length_b 6.5117
_cell_length_c 16.5931
_cell_angle_alpha 90.00
_cell_angle_beta 90.00
_cell_angle_gamma 120.00
loop_
_atom_site_label
_atom_site_type_symbol
_atom_site_fract_x
_atom_site_fract_y
_atom_site_fract_z
Na1 Na 0.0000 0.5000 0.0000
Er1 Er 0.0000 0.5000 0.5000
Si1 Si 0.0000 0.0000 0.5000
O1 O 0.0000 0.0000 0.2366
O2 O 0.0524 0.5262 0.2288
# Formation energy without anion corrections, meV per atom: -2724.9